Density functional theory data (PBE-GGA) for an optimized crystal structure of ZrBe3Co.

Geometry as POSCAR:
```
ZrBe3Co
1.0
3.9327 0.0000 0.0000
0.0000 3.9327 0.0000
0.0000 0.0000 3.9327
Zr Be Co
1 3 1
direct
0.0000 0.0000 0.0000
0.0000 0.5000 0.5000
0.5000 0.0000 0.5000
0.5000 0.5000 0.0000
0.5000 0.5000 0.5000
```

- Space-group type: No. 221
- Relative energy among the computed polymorphs: 0 meV per atom


Density functional theory data (PBE-GGA) for an optimized crystal structure of HfTa2Be2.

Geometry as POSCAR:
```
HfTa2Be2
1.0
6.8510 0.0000 0.0000
0.0000 6.8510 0.0000
0.0000 0.0000 3.2045
Hf Ta Be
2 4 4
direct
0.0000 0.0000 0.0000
0.5000 0.5000 0.0000
0.1776 0.3224 0.5000
0.3224 0.8224 0.5000
0.6776 0.1776 0.5000
0.8224 0.6776 0.5000
0.1115 0.6115 0.0000
0.3885 0.1115 0.0000
0.6115 0.8885 0.0000
0.8885 0.3885 0.0000
```

- Space-group type: No. 127
- Relative energy among the computed polymorphs: 0 meV per atom


Density functional theory data (PBE-GGA) for an optimized crystal structure of Pm3TmRu.

Geometry as POSCAR:
```
Pm3TmRu
1.0
-4.7345 3.7523 4.3400
4.7345 -3.7523 4.3400
4.7345 3.7523 -4.3400
Pm Tm Ru
6 2 2
direct
0.2491 0.0393 0.2883
0.2491 0.4607 0.7098
0.7298 0.9988 0.2310
0.7509 0.5393 0.2902
0.7509 0.9607 0.7117
0.7679 0.4988 0.7690
0.2238 0.5012 0.2225
0.2787 0.0012 0.7775
0.2473 0.7500 0.9973
0.7527 0.2500 0.0027
```

- Space-group type: No. 46
- Relative energy among the computed polymorphs: 0 meV per atom


Density functional theory data (PBE-GGA) for an optimized crystal structure of LiPtSeI.

Geometry as POSCAR:
```
LiPtSeI
1.0
4.3022 0.0000 0.0000
-2.1511 3.7258 0.0000
0.0000 0.0000 5.8770
Li Pt Se I
1 1 1 1
direct
0.0000 0.0000 0.0000
0.6667 0.3333 0.2467
0.3333 0.6667 0.3014
0.6667 0.3333 0.7591
```

- Space-group type: No. 156
- Relative energy among the computed polymorphs: 115 meV per atom
- Formation energy (no corrections): -0.4611 eV/atom


Density functional theory data (PBE-GGA) for an optimized crystal structure of Na2TlGa2Pd5.

Geometry as POSCAR:
```
Na2TlGa2Pd5
1.0
9.7926 0.0000 0.0000
0.0000 9.7926 0.0000
0.0000 0.0000 3.7387
Na Tl Ga Pd
4 2 4 10
direct
0.1737 0.3263 0.0000
0.3263 0.8263 0.0000
0.6737 0.1737 0.0000
0.8263 0.6737 0.0000
0.0000 0.0000 0.0000
0.5000 0.5000 0.0000
0.1243 0.6243 0.0000
0.3757 0.1243 0.0000
0.6243 0.8757 0.0000
0.8757 0.3757 0.0000
0.0000 0.5000 0.5000
0.0712 0.7913 0.5000
0.2087 0.0712 0.5000
0.2913 0.5712 0.5000
0.4288 0.2913 0.5000
0.5000 0.0000 0.5000
0.5712 0.7087 0.5000
0.7087 0.4288 0.5000
0.7913 0.9288 0.5000
0.9288 0.2087 0.5000
```

- Space-group type: No. 127


Density functional theory data (PBE-GGA) for an optimized crystal structure of TbPmDy2S6.

Geometry as POSCAR:
```
TbPmDy2S6
1.0
3.4896 2.0147 6.1962
-3.4896 2.0147 6.1962
0.0000 -4.0294 6.1962
Tb Pm Dy S
1 1 2 6
direct
0.0000 0.0000 0.0000
0.5034 0.5034 0.5034
0.2998 0.2998 0.2998
0.7977 0.7977 0.7977
0.0933 0.4022 0.6976
0.1871 0.9124 0.5949
0.4022 0.6976 0.0933
0.5949 0.1871 0.9124
0.6976 0.0933 0.4022
0.9124 0.5949 0.1871
```

- Space-group type: No. 146
- Formation energy (no corrections): -2.0517 eV/atom


Density functional theory data (PBE-GGA) for an optimized crystal structure of HoTiIr.

Geometry as POSCAR:
```
HoTiIr
1.0
4.3526 0.0000 0.0000
0.0000 4.3526 0.0000
0.0000 0.0000 6.5963
Ho Ti Ir
2 2 2
direct
0.2500 0.2500 0.1430
0.7500 0.7500 0.8570
0.2500 0.7500 0.5000
0.7500 0.2500 0.5000
0.2500 0.2500 0.7054
0.7500 0.7500 0.2946
```

- Space-group type: No. 129


Density functional theory data (PBE-GGA) for an optimized crystal structure of PmPrDy2Y.

Geometry as POSCAR:
```
PmPrDy2Y
1.0
4.2134 -5.8263 0.0000
4.2134 5.8263 0.0000
0.0000 0.0000 7.2044
Pm Pr Dy Y
2 2 4 2
direct
0.0113 0.9887 0.7500
0.9887 0.0113 0.2500
0.2767 0.7233 0.7500
0.7233 0.2767 0.2500
0.3124 0.3124 0.0000
0.3124 0.3124 0.5000
0.6876 0.6876 0.0000
0.6876 0.6876 0.5000
0.2712 0.7288 0.2500
0.7288 0.2712 0.7500
```

- Space-group type: No. 63


Density functional theory data (PBE-GGA) for an optimized crystal structure of TlCd6Hg6.

Geometry as POSCAR:
```
TlCd6Hg6
1.0
-3.1115 4.9208 5.3963
3.1115 -4.9208 5.3963
3.1115 4.9208 -5.3963
Tl Cd Hg
1 6 6
direct
0.0000 0.0000 0.0000
0.0000 0.0000 0.5000
0.0000 0.5000 0.0000
0.2564 0.5000 0.7564
0.5000 0.0000 0.0000
0.5000 0.5000 0.5000
0.7436 0.5000 0.2436
0.1610 0.6610 0.5000
0.3288 0.3288 0.0000
0.3465 0.0000 0.3465
0.6535 0.0000 0.6535
0.6712 0.6712 0.0000
0.8390 0.3390 0.5000
```

- Space-group type: No. 71
- Relative energy among the computed polymorphs: 0 meV per atom


Density functional theory data (PBE-GGA) for an optimized crystal structure of SmUI6.

Geometry as POSCAR:
```
SmUI6
1.0
7.6537 0.0000 0.0000
0.0000 14.4198 0.0000
-2.3777 0.0000 7.2785
Sm U I
2 2 12
direct
0.0000 0.0000 0.0000
0.5000 0.5000 0.0000
0.0000 0.5000 0.5000
0.5000 0.0000 0.5000
0.2479 0.1502 0.2472
0.2479 0.8498 0.2472
0.2485 0.0000 0.7499
0.2515 0.5000 0.2501
0.2521 0.3498 0.7528
0.2521 0.6502 0.7528
0.7479 0.3498 0.2472
0.7479 0.6502 0.2472
0.7485 0.5000 0.7499
0.7515 0.0000 0.2501
0.7521 0.1502 0.7528
0.7521 0.8498 0.7528
```

- Space-group type: No. 12
- Formation energy (no corrections): -1.0688 eV/atom


Density functional theory data (PBE-GGA) for an optimized crystal structure of Ho2BiSe.

Geometry as POSCAR:
```
Ho2BiSe
1.0
4.2417 0.0000 0.0000
0.0000 6.0632 0.0000
0.0000 0.0000 8.5468
Ho Bi Se
4 2 2
direct
0.2500 0.2500 0.1119
0.2500 0.2500 0.6466
0.7500 0.7500 0.3534
0.7500 0.7500 0.8881
0.2500 0.7500 0.6228
0.7500 0.2500 0.3772
0.2500 0.7500 0.1198
0.7500 0.2500 0.8802
```

- Space-group type: No. 59
- Relative energy among the computed polymorphs: 5 meV per atom
- Formation energy (no corrections): -1.2500 eV/atom


Density functional theory data (PBE-GGA) for an optimized crystal structure of Li2AlP2.

Geometry as POSCAR:
```
Li2AlP2
1.0
7.4424 0.0000 0.0000
0.0000 7.4424 0.0000
0.0000 0.0000 2.6439
Li Al P
4 2 4
direct
0.1204 0.3796 0.0000
0.3796 0.8796 0.0000
0.6204 0.1204 0.0000
0.8796 0.6204 0.0000
0.0000 0.0000 0.5000
0.5000 0.5000 0.5000
0.1781 0.6781 0.5000
0.3219 0.1781 0.5000
0.6781 0.8219 0.5000
0.8219 0.3219 0.5000
```

- Space-group type: No. 127


Number 1: DFT total energy -5.44 eV per atom, Fermi-level density of states 0.54 states/eV per atom. Number 2: DFT total energy -8.29 eV per atom, Fermi-level density of states 0.99 states/eV per atom. Number 3: DFT total energy -5.73 eV per atom, Fermi-level density of states 1.15 states/eV per atom. Number 4: DFT total energy -3.71 eV per atom, Fermi-level density of states 0.81 states/eV per atom. Number 5: DFT total energy -4.11 eV per atom, Fermi-level density of states 0.35 states/eV per atom. Number 6: DFT total energy -6.39 eV per atom, Fermi-level density of states 0.00 states/eV per atom. Number 7: DFT total energy -7.83 eV per atom, Fermi-level density of states 1.36 states/eV per atom. Number 8: DFT total energy -4.67 eV per atom, Fermi-level density of states 1.73 states/eV per atom. Number 9: DFT total energy -0.72 eV per atom, Fermi-level density of states 0.31 states/eV per atom. Number 10: DFT total energy -4.23 eV per atom, Fermi-level density of states 0.52 states/eV per atom. Number 11: DFT total energy -5.38 eV per atom, Fermi-level density of states 0.40 states/eV per atom. Number 12: DFT total energy -3.98 eV per atom, Fermi-level density of states 0.21 states/eV per atom.